DFT (GGA-PBE) results for a geometry-optimized KFeAs2 structure.

```
data_KFeAs2
_chemical_formula_sum 'K1 Fe1 As2'
_space_group_name_H-M_alt 'P 1'
_space_group_IT_number 1
_cell_length_a 8.362
_cell_length_b 8.362
_cell_length_c 8.362
_cell_angle_alpha 159.43
_cell_angle_beta 155.82
_cell_angle_gamma 31.95
loop_
_space_group_symop_operation_xyz
'x,y,z'
loop_
_atom_site_label
_atom_site_type_symbol
_atom_site_fract_x
_atom_site_fract_y
_atom_site_fract_z
As1 As 0.983 0.983 0.000
As2 As 0.661 0.161 0.500
Fe1 Fe 0.546 0.546 0.000
K1 K 0.310 0.810 0.500
```

Energy above the lowest structure with this stoichiometry   89 meV/atom
Energy of formation from the pure elements   -56 meV per atom
Symmetry   Imm2, No. 44

DFT (GGA-PBE) results for a geometry-optimized FeNi2Sn structure.

```
data_FeNi2Sn
_chemical_formula_sum 'Fe2 Ni4 Sn2'
_space_group_name_H-M_alt 'P 1'
_space_group_IT_number 1
_cell_length_a 3.721
_cell_length_b 3.721
_cell_length_c 8.968
_cell_angle_alpha 78.03
_cell_angle_beta 78.03
_cell_angle_gamma 90.00
loop_
_space_group_symop_operation_xyz
'x,y,z'
loop_
_atom_site_label
_atom_site_type_symbol
_atom_site_fract_x
_atom_site_fract_y
_atom_site_fract_z
Ni1 Ni 0.602 0.125 0.250
Ni2 Ni 0.148 0.625 0.250
Ni3 Ni 0.375 0.398 0.750
Ni4 Ni 0.875 0.852 0.750
Sn1 Sn 0.000 0.000 0.000
Sn2 Sn 0.750 0.250 0.500
Fe1 Fe 0.500 0.500 0.000
Fe2 Fe 0.250 0.750 0.500
```

Energy of formation from the pure elements   338 meV per atom
Symmetry   I-42d, No. 122

DFT (GGA-PBE) results for a geometry-optimized SrCaSbP2 structure.

```
data_SrCaSbP2
_chemical_formula_sum 'Sr1 Ca1 Sb1 P2'
_space_group_name_H-M_alt 'P 1'
_space_group_IT_number 1
_cell_length_a 5.400
_cell_length_b 5.444
_cell_length_c 5.400
_cell_angle_alpha 90.00
_cell_angle_beta 90.00
_cell_angle_gamma 90.00
loop_
_space_group_symop_operation_xyz
'x,y,z'
loop_
_atom_site_label
_atom_site_type_symbol
_atom_site_fract_x
_atom_site_fract_y
_atom_site_fract_z
Sb1 Sb 0.000 0.000 0.000
Ca1 Ca 0.000 0.500 0.000
P1 P 0.000 0.000 0.500
P2 P 0.500 0.000 0.000
Sr1 Sr 0.500 0.500 0.500
```

Symmetry   P4/mmm, No. 123
Raw formation energy   0.1690 eV per atom

DFT (GGA-PBE) results for a geometry-optimized IrOs3 structure.

```
data_IrOs3
_chemical_formula_sum 'Ir1 Os3'
_space_group_name_H-M_alt 'P 1'
_space_group_IT_number 1
_cell_length_a 4.380
_cell_length_b 4.380
_cell_length_c 4.380
_cell_angle_alpha 90.00
_cell_angle_beta 120.00
_cell_angle_gamma 60.00
loop_
_space_group_symop_operation_xyz
'x,y,z'
loop_
_atom_site_label
_atom_site_type_symbol
_atom_site_fract_x
_atom_site_fract_y
_atom_site_fract_z
Ir1 Ir 0.000 0.000 0.000
Os1 Os 0.500 0.750 0.750
Os2 Os 0.000 0.500 0.500
Os3 Os 0.500 0.250 0.250
```

Energy of formation from the pure elements   827 meV per atom
Symmetry   Fm-3m, No. 225

DFT (GGA-PBE) results for a geometry-optimized NaAuCl3 structure.

```
data_NaAuCl3
_chemical_formula_sum 'Na1 Au1 Cl3'
_space_group_name_H-M_alt 'P 1'
_space_group_IT_number 1
_cell_length_a 5.108
_cell_length_b 5.108
_cell_length_c 5.108
_cell_angle_alpha 90.00
_cell_angle_beta 90.00
_cell_angle_gamma 90.00
loop_
_space_group_symop_operation_xyz
'x,y,z'
loop_
_atom_site_label
_atom_site_type_symbol
_atom_site_fract_x
_atom_site_fract_y
_atom_site_fract_z
Na1 Na 0.000 0.000 0.000
Au1 Au 0.500 0.500 0.500
Cl1 Cl 0.000 0.500 0.000
Cl2 Cl 0.000 0.000 0.500
Cl3 Cl 0.500 0.000 0.000
```

Energy above the lowest structure with this stoichiometry   921 meV/atom
Symmetry   Pm-3m, No. 221
Raw formation energy   -0.0654 eV per atom

DFT (GGA-PBE) results for a geometry-optimized ScIn3Pd structure.

```
data_ScIn3Pd
_chemical_formula_sum 'Sc1 In3 Pd1'
_space_group_name_H-M_alt 'P 1'
_space_group_IT_number 1
_cell_length_a 5.101
_cell_length_b 5.101
_cell_length_c 5.101
_cell_angle_alpha 90.00
_cell_angle_beta 90.00
_cell_angle_gamma 90.00
loop_
_space_group_symop_operation_xyz
'x,y,z'
loop_
_atom_site_label
_atom_site_type_symbol
_atom_site_fract_x
_atom_site_fract_y
_atom_site_fract_z
Sc1 Sc 0.500 0.500 0.500
Pd1 Pd 0.000 0.000 0.000
In1 In 0.000 0.500 0.000
In2 In 0.000 0.000 0.500
In3 In 0.500 0.000 0.000
```

Energy above the lowest structure with this stoichiometry   0 meV/atom
Energy of formation from the pure elements   21 meV per atom
Symmetry   Pm-3m, No. 221

DFT (GGA-PBE) results for a geometry-optimized Co3Br structure.

```
data_Co3Br
_chemical_formula_sum 'Co3 Br1'
_space_group_name_H-M_alt 'P 1'
_space_group_IT_number 1
_cell_length_a 3.919
_cell_length_b 3.919
_cell_length_c 7.495
_cell_angle_alpha 59.22
_cell_angle_beta 59.22
_cell_angle_gamma 44.28
loop_
_space_group_symop_operation_xyz
'x,y,z'
loop_
_atom_site_label
_atom_site_type_symbol
_atom_site_fract_x
_atom_site_fract_y
_atom_site_fract_z
Br1 Br 0.000 0.000 0.000
Co1 Co 0.500 0.500 0.500
Co2 Co 0.696 0.696 0.662
Co3 Co 0.304 0.304 0.338
```

Energy above the lowest structure with this stoichiometry   196 meV/atom
Symmetry   C2/m, No. 12
Raw formation energy   0.5097 eV per atom

DFT (GGA-PBE) results for a geometry-optimized MnHg3Pd6 structure.

```
data_MnHg3Pd6
_chemical_formula_sum 'Mn2 Hg6 Pd12'
_space_group_name_H-M_alt 'P 1'
_space_group_IT_number 1
_cell_length_a 4.905
_cell_length_b 8.587
_cell_length_c 8.587
_cell_angle_alpha 100.27
_cell_angle_beta 90.00
_cell_angle_gamma 90.00
loop_
_space_group_symop_operation_xyz
'x,y,z'
loop_
_atom_site_label
_atom_site_type_symbol
_atom_site_fract_x
_atom_site_fract_y
_atom_site_fract_z
Mn1 Mn 0.251 0.160 0.840
Mn2 Mn 0.751 0.840 0.160
Hg1 Hg 0.558 0.888 0.704
Hg2 Hg 0.058 0.704 0.888
Hg3 Hg 0.174 0.372 0.628
Hg4 Hg 0.674 0.628 0.372
Hg5 Hg 0.058 0.112 0.296
Hg6 Hg 0.558 0.296 0.112
Pd1 Pd 0.153 0.687 0.564
Pd2 Pd 0.653 0.564 0.687
Pd3 Pd 0.046 0.415 0.996
Pd4 Pd 0.546 0.996 0.415
Pd5 Pd 0.344 0.957 0.043
Pd6 Pd 0.702 0.252 0.748
Pd7 Pd 0.202 0.748 0.252
Pd8 Pd 0.844 0.043 0.957
Pd9 Pd 0.046 0.004 0.585
Pd10 Pd 0.546 0.585 0.004
Pd11 Pd 0.153 0.436 0.313
Pd12 Pd 0.653 0.313 0.436
```

Energy above the lowest structure with this stoichiometry   155 meV/atom
Energy of formation from the pure elements   -9 meV per atom
Symmetry   Cmc2_1, No. 36

DFT (GGA-PBE) results for a geometry-optimized Ho2ZrTe structure.

```
data_Ho2ZrTe
_chemical_formula_sum 'Ho2 Zr1 Te1'
_space_group_name_H-M_alt 'P 1'
_space_group_IT_number 1
_cell_length_a 3.802
_cell_length_b 3.802
_cell_length_c 7.406
_cell_angle_alpha 90.00
_cell_angle_beta 90.00
_cell_angle_gamma 90.00
loop_
_space_group_symop_operation_xyz
'x,y,z'
loop_
_atom_site_label
_atom_site_type_symbol
_atom_site_fract_x
_atom_site_fract_y
_atom_site_fract_z
Te1 Te 0.500 0.500 0.000
Ho1 Ho 0.000 0.000 0.761
Ho2 Ho 0.000 0.000 0.239
Zr1 Zr 0.500 0.500 0.500
```

Energy above the lowest structure with this stoichiometry   0 meV/atom
Symmetry   P4/mmm, No. 123
Raw formation energy   -0.4785 eV per atom

DFT (GGA-PBE) results for a geometry-optimized Rb2Sr3F8 structure.

```
data_Rb2Sr3F8
_chemical_formula_sum 'Rb2 Sr3 F8'
_space_group_name_H-M_alt 'P 1'
_space_group_IT_number 1
_cell_length_a 3.979
_cell_length_b 7.769
_cell_length_c 9.730
_cell_angle_alpha 71.30
_cell_angle_beta 90.00
_cell_angle_gamma 90.00
loop_
_space_group_symop_operation_xyz
'x,y,z'
loop_
_atom_site_label
_atom_site_type_symbol
_atom_site_fract_x
_atom_site_fract_y
_atom_site_fract_z
Rb1 Rb 0.500 0.753 0.707
Rb2 Rb 0.500 0.247 0.293
Sr1 Sr 0.500 0.000 0.000
Sr2 Sr 0.000 0.727 0.339
Sr3 Sr 0.000 0.273 0.661
F1 F 0.000 0.402 0.397
F2 F 0.000 0.598 0.603
F3 F 0.000 0.954 0.863
F4 F 0.000 0.046 0.137
F5 F 0.500 0.298 0.823
F6 F 0.500 0.871 0.398
F7 F 0.500 0.129 0.602
F8 F 0.500 0.702 0.177
```

Symmetry   P2/m, No. 10
Raw formation energy   -3.4890 eV per atom

DFT (GGA-PBE) results for a geometry-optimized TaRe2Tc structure.

```
data_TaRe2Tc
_chemical_formula_sum 'Ta1 Re2 Tc1'
_space_group_name_H-M_alt 'P 1'
_space_group_IT_number 1
_cell_length_a 4.446
_cell_length_b 2.758
_cell_length_c 5.205
_cell_angle_alpha 78.64
_cell_angle_beta 90.00
_cell_angle_gamma 90.00
loop_
_space_group_symop_operation_xyz
'x,y,z'
loop_
_atom_site_label
_atom_site_type_symbol
_atom_site_fract_x
_atom_site_fract_y
_atom_site_fract_z
Re1 Re 0.000 0.032 0.998
Re2 Re 0.000 0.468 0.502
Ta1 Ta 0.500 0.250 0.250
Tc1 Tc 0.500 0.750 0.750
```

Energy above the lowest structure with this stoichiometry   66 meV/atom
Energy of formation from the pure elements   -5 meV per atom
Symmetry   P2/m, No. 10

DFT (GGA-PBE) results for a geometry-optimized Ac6Pr3Ho structure.

```
data_Ac6Pr3Ho
_chemical_formula_sum 'Ac6 Pr3 Ho1'
_space_group_name_H-M_alt 'P 1'
_space_group_IT_number 1
_cell_length_a 7.366
_cell_length_b 9.952
_cell_length_c 7.061
_cell_angle_alpha 107.18
_cell_angle_beta 121.44
_cell_angle_gamma 90.00
loop_
_space_group_symop_operation_xyz
'x,y,z'
loop_
_atom_site_label
_atom_site_type_symbol
_atom_site_fract_x
_atom_site_fract_y
_atom_site_fract_z
Ac1 Ac 0.445 0.299 0.389
Ac2 Ac 0.056 0.701 0.611
Ac3 Ac 0.555 0.701 0.611
Ac4 Ac 0.944 0.299 0.389
Ac5 Ac 0.373 0.086 0.747
Ac6 Ac 0.627 0.914 0.253
Pr1 Pr 0.945 0.334 0.890
Pr2 Pr 0.055 0.666 0.110
Pr3 Pr 0.000 0.000 0.000
Ho1 Ho 0.500 0.500 0.000
```

Energy of formation from the pure elements   203 meV per atom
Symmetry   C2/m, No. 12

DFT (GGA-PBE) results for a geometry-optimized Er2MgPd4 structure.

```
data_Er2MgPd4
_chemical_formula_sum 'Er2 Mg1 Pd4'
_space_group_name_H-M_alt 'P 1'
_space_group_IT_number 1
_cell_length_a 4.431
_cell_length_b 4.841
_cell_length_c 7.593
_cell_angle_alpha 85.61
_cell_angle_beta 73.03
_cell_angle_gamma 62.76
loop_
_space_group_symop_operation_xyz
'x,y,z'
loop_
_atom_site_label
_atom_site_type_symbol
_atom_site_fract_x
_atom_site_fract_y
_atom_site_fract_z
Er1 Er 0.808 0.655 0.729
Er2 Er 0.192 0.345 0.271
Mg1 Mg 0.000 0.000 0.000
Pd1 Pd 0.824 0.969 0.383
Pd2 Pd 0.176 0.031 0.617
Pd3 Pd 0.595 0.684 0.127
Pd4 Pd 0.405 0.316 0.873
```

Energy of formation from the pure elements   -745 meV per atom
Symmetry   C2/m, No. 12

DFT (GGA-PBE) results for a geometry-optimized Sm5Ga2Ag structure.

```
data_Sm5Ga2Ag
_chemical_formula_sum 'Sm10 Ga4 Ag2'
_space_group_name_H-M_alt 'P 1'
_space_group_IT_number 1
_cell_length_a 7.663
_cell_length_b 7.663
_cell_length_c 9.313
_cell_angle_alpha 114.29
_cell_angle_beta 114.29
_cell_angle_gamma 90.00
loop_
_space_group_symop_operation_xyz
'x,y,z'
loop_
_atom_site_label
_atom_site_type_symbol
_atom_site_fract_x
_atom_site_fract_y
_atom_site_fract_z
Sm1 Sm 0.524 0.683 0.708
Sm2 Sm 0.817 0.976 0.292
Sm3 Sm 0.000 0.000 0.000
Sm4 Sm 0.500 0.500 0.000
Sm5 Sm 0.183 0.024 0.708
Sm6 Sm 0.683 0.183 0.708
Sm7 Sm 0.024 0.524 0.708
Sm8 Sm 0.317 0.817 0.292
Sm9 Sm 0.976 0.476 0.292
Sm10 Sm 0.476 0.317 0.292
Ga1 Ga 0.120 0.380 0.000
Ga2 Ga 0.620 0.120 0.000
Ga3 Ga 0.380 0.880 0.000
Ga4 Ga 0.880 0.620 0.000
Ag1 Ag 0.750 0.750 0.500
Ag2 Ag 0.250 0.250 0.500
```

Energy above the lowest structure with this stoichiometry   0 meV/atom
Energy of formation from the pure elements   -359 meV per atom
Symmetry   I4/mcm, No. 140

DFT (GGA-PBE) results for a geometry-optimized MnAsIr2 structure.

```
data_MnAsIr2
_chemical_formula_sum 'Mn1 As1 Ir2'
_space_group_name_H-M_alt 'P 1'
_space_group_IT_number 1
_cell_length_a 2.937
_cell_length_b 2.937
_cell_length_c 6.849
_cell_angle_alpha 90.00
_cell_angle_beta 90.00
_cell_angle_gamma 90.00
loop_
_space_group_symop_operation_xyz
'x,y,z'
loop_
_atom_site_label
_atom_site_type_symbol
_atom_site_fract_x
_atom_site_fract_y
_atom_site_fract_z
As1 As 0.500 0.500 0.750
Ir1 Ir 0.000 0.000 0.995
Ir2 Ir 0.000 0.000 0.505
Mn1 Mn 0.500 0.500 0.250
```

Energy of formation from the pure elements   33 meV per atom
Symmetry   P4/mmm, No. 123

DFT (GGA-PBE) results for a geometry-optimized CsTlGe3 structure.

```
data_CsTlGe3
_chemical_formula_sum 'Cs1 Tl1 Ge3'
_space_group_name_H-M_alt 'P 1'
_space_group_IT_number 1
_cell_length_a 5.857
_cell_length_b 5.857
_cell_length_c 5.857
_cell_angle_alpha 90.00
_cell_angle_beta 90.00
_cell_angle_gamma 90.00
loop_
_space_group_symop_operation_xyz
'x,y,z'
loop_
_atom_site_label
_atom_site_type_symbol
_atom_site_fract_x
_atom_site_fract_y
_atom_site_fract_z
Cs1 Cs 0.000 0.000 0.000
Tl1 Tl 0.500 0.500 0.500
Ge1 Ge 0.000 0.500 0.000
Ge2 Ge 0.000 0.000 0.500
Ge3 Ge 0.500 0.000 0.000
```

Energy of formation from the pure elements   1560 meV per atom
Symmetry   Pm-3m, No. 221

DFT (GGA-PBE) results for a geometry-optimized Ba2GaGe2 structure.

```
data_Ba2GaGe2
_chemical_formula_sum 'Ba4 Ga2 Ge4'
_space_group_name_H-M_alt 'P 1'
_space_group_IT_number 1
_cell_length_a 6.756
_cell_length_b 7.161
_cell_length_c 8.452
_cell_angle_alpha 77.71
_cell_angle_beta 66.44
_cell_angle_gamma 61.86
loop_
_space_group_symop_operation_xyz
'x,y,z'
loop_
_atom_site_label
_atom_site_type_symbol
_atom_site_fract_x
_atom_site_fract_y
_atom_site_fract_z
Ba1 Ba 0.675 0.209 0.441
Ba2 Ba 0.325 0.791 0.559
Ba3 Ba 0.108 0.663 0.121
Ba4 Ba 0.892 0.337 0.879
Ga1 Ga 0.348 0.134 0.171
Ga2 Ga 0.652 0.866 0.829
Ge1 Ge 0.115 0.304 0.466
Ge2 Ge 0.885 0.696 0.534
Ge3 Ge 0.439 0.267 0.856
Ge4 Ge 0.561 0.733 0.144
```

Energy of formation from the pure elements   -438 meV per atom
Symmetry   C2/m, No. 12

DFT (GGA-PBE) results for a geometry-optimized Rb2GeI2Br2 structure.

```
data_Rb2GeI2Br2
_chemical_formula_sum 'Rb2 Ge1 I2 Br2'
_space_group_name_H-M_alt 'P 1'
_space_group_IT_number 1
_cell_length_a 4.593
_cell_length_b 8.140
_cell_length_c 9.061
_cell_angle_alpha 62.67
_cell_angle_beta 75.32
_cell_angle_gamma 90.00
loop_
_space_group_symop_operation_xyz
'x,y,z'
loop_
_atom_site_label
_atom_site_type_symbol
_atom_site_fract_x
_atom_site_fract_y
_atom_site_fract_z
Rb1 Rb 0.160 0.690 0.680
Rb2 Rb 0.840 0.310 0.320
Ge1 Ge 0.000 0.000 0.000
I1 I 0.515 0.268 0.970
I2 I 0.485 0.732 0.030
Br1 Br 0.180 0.144 0.640
Br2 Br 0.820 0.856 0.360
```

Symmetry   C2/m, No. 12
Raw formation energy   -1.0934 eV per atom

DFT (GGA-PBE) results for a geometry-optimized Ca2YMo structure.

```
data_Ca2YMo
_chemical_formula_sum 'Ca2 Y1 Mo1'
_space_group_name_H-M_alt 'P 1'
_space_group_IT_number 1
_cell_length_a 3.755
_cell_length_b 3.755
_cell_length_c 8.541
_cell_angle_alpha 90.00
_cell_angle_beta 90.00
_cell_angle_gamma 90.00
loop_
_space_group_symop_operation_xyz
'x,y,z'
loop_
_atom_site_label
_atom_site_type_symbol
_atom_site_fract_x
_atom_site_fract_y
_atom_site_fract_z
Y1 Y 0.500 0.500 0.683
Mo1 Mo 0.000 0.000 0.547
Ca1 Ca 0.000 0.000 0.962
Ca2 Ca 0.500 0.500 0.307
```

Energy above the lowest structure with this stoichiometry   0 meV/atom
Energy of formation from the pure elements   431 meV per atom
Symmetry   P4mm, No. 99

DFT (GGA-PBE) results for a geometry-optimized Cd7In3 structure.

```
data_Cd7In3
_chemical_formula_sum 'Cd7 In3'
_space_group_name_H-M_alt 'P 1'
_space_group_IT_number 1
_cell_length_a 4.740
_cell_length_b 6.347
_cell_length_c 8.504
_cell_angle_alpha 100.96
_cell_angle_beta 106.18
_cell_angle_gamma 90.00
loop_
_space_group_symop_operation_xyz
'x,y,z'
loop_
_atom_site_label
_atom_site_type_symbol
_atom_site_fract_x
_atom_site_fract_y
_atom_site_fract_z
Cd1 Cd 0.000 0.500 0.000
Cd2 Cd 0.800 0.900 0.599
Cd3 Cd 0.200 0.100 0.401
Cd4 Cd 0.598 0.299 0.196
Cd5 Cd 0.402 0.701 0.804
Cd6 Cd 0.602 0.802 0.205
Cd7 Cd 0.398 0.198 0.795
In1 In 0.000 0.000 0.000
In2 In 0.801 0.402 0.602
In3 In 0.199 0.598 0.398
```

Energy of formation from the pure elements   31 meV per atom
Symmetry   C2/m, No. 12